[1]
A relaxed structure of HoZnGa3. Source: Alexandria via LeMat-Bulk, functional GGA-PBE.

Cell and atoms, written as extended XYZ:
```
5
Lattice="3.943 0.011 1.334 -0.477 3.992 1.389 0.063 0.148 6.079" Properties=species:S:1:pos:R:3 pbc="T T T"
Ga 2.902 2.413 2.635
Ho 1.546 0.952 6.320
Ga 2.083 3.887 4.623
Zn -0.340 3.366 5.230
Ga 0.440 1.854 3.336
```

Summary:
magnetization	0.00	μB/f.u.
formation energy from the elements	-1.855	eV per formula unit
DFT total energy	-3.3574	eV per atom
crystal system	triclinic

=====

[2]
A relaxed structure of HoZr2Ga. Source: Alexandria via LeMat-Bulk, functional GGA-PBE.

Cell and atoms, written as extended XYZ:
```
4
Lattice="-0.629 -2.249 -2.350 -1.234 -2.961 0.828 -9.747 1.803 -1.450" Properties=species:S:1:pos:R:3 pbc="T T T"
Zr -2.682 -0.937 -0.720
Zr -7.679 1.001 -1.236
Ga -1.244 -3.473 -1.015
Ho -5.811 -1.702 -1.486
```

Summary:
magnetization	0.00	μB/f.u.
distance to the lowest polymorph of the same formula	241	meV/atom
formation energy from the elements	-0.268	eV per formula unit
DFT total energy	-6.2422	eV per atom
crystal system	trigonal

=====

[3]
A relaxed structure of HoZrGa. Source: Alexandria via LeMat-Bulk, functional GGA-PBE.

Cell and atoms, written as extended XYZ:
```
3
Lattice="3.518 0.000 0.000 0.000 4.828 0.000 0.000 -2.414 4.181" Properties=species:S:1:pos:R:3 pbc="T T T"
Ho 3.468 0.000 0.000
Zr 1.660 0.000 2.787
Ga 1.909 2.414 1.394
```

Summary:
magnetization	0.00	μB/f.u.
distance to the lowest polymorph of the same formula	264	meV/atom
formation energy from the elements	-0.523	eV per formula unit
DFT total energy	-5.5585	eV per atom
crystal system	trigonal

=====

[4]
A relaxed structure of HoZrGa6. Source: Alexandria via LeMat-Bulk, functional GGA-PBE.

Cell and atoms, written as extended XYZ:
```
8
Lattice="4.176 0.000 0.000 0.000 5.928 -0.038 0.000 0.038 5.928" Properties=species:S:1:pos:R:3 pbc="T T T"
Ga 0.000 1.529 4.418
Ho 2.088 0.000 0.000
Ga 0.000 4.437 1.473
Ga 0.000 1.511 1.492
Ga 2.088 0.019 2.964
Ga 0.000 4.455 4.399
Ga 2.088 2.964 -0.019
Zr 2.088 2.983 2.945
```

Summary:
magnetization	0.00	μB/f.u.
formation energy from the elements	-4.035	eV per formula unit
DFT total energy	-4.4153	eV per atom
crystal system	tetragonal